Record 1
5
Lattice="4.489 0.000 0.000 0.000 4.489 0.000 0.000 0.000 4.390" Properties=species:S:1:pos:R:3 comment="PBE BaPPdO2, relaxed" de_polymorph_mev_per_atom=0 e_form_raw_kj_per_mol_fu=-285 total_energy_ev_per_fu=-25.4 pbc="T T T"
Ba 0.000 0.000 0.000
P 2.244 2.244 0.000
Pd 2.244 2.244 2.195
O 0.000 2.244 2.195
O 2.244 0.000 2.195

=====

Record 2
12
Lattice="5.495 0.000 0.000 -2.748 4.759 0.000 0.000 0.000 7.891" Properties=species:S:1:pos:R:3 comment="PBE BaPmP2O8, relaxed" e_form_raw_kj_per_mol_fu=-3080 total_energy_ev_per_fu=-89.1 pbc="T T T"
Ba 0.000 0.000 0.000
Pm 0.000 0.000 3.946
P 0.000 3.173 6.030
P 2.748 1.586 1.861
O 0.000 1.713 5.516
O -1.265 3.903 5.516
O 0.000 3.173 7.578
O 1.483 0.856 2.376
O 1.265 3.903 5.516
O 2.748 1.586 0.313
O 4.012 0.856 2.376
O 2.748 3.047 2.376

=====

Record 3
12
Lattice="5.522 0.000 0.000 -2.761 4.782 0.000 0.000 0.000 7.962" Properties=species:S:1:pos:R:3 comment="PBE BaPrP2O8, relaxed" e_form_raw_kj_per_mol_fu=-3057 total_energy_ev_per_fu=-88.9 pbc="T T T"
Ba 0.000 0.000 0.000
Pr 0.000 0.000 3.981
P 0.000 3.188 6.116
P 2.761 1.594 1.846
O -0.008 1.727 5.600
O -1.261 3.925 5.600
O 0.000 3.188 7.664
O 1.492 0.871 2.361
O 1.269 3.911 5.600
O 2.761 1.594 0.298
O 4.022 0.857 2.361
O 2.769 3.055 2.361

=====

Record 4
16
Lattice="6.837 0.000 0.000 0.000 6.837 0.000 0.000 0.000 7.789" Properties=species:S:1:pos:R:3 comment="PBE Rb2BaPO4, relaxed" e_form_raw_kj_per_mol_fu=-1581 total_energy_ev_per_fu=-45.5 pbc="T T T"
Rb 0.000 0.000 0.000
Rb 0.000 3.418 1.947
Rb 3.418 0.000 5.842
Rb 3.418 3.418 3.895
Ba 0.000 3.418 5.842
Ba 3.418 0.000 1.947
P 0.000 0.000 3.895
P 3.418 3.418 0.000
O 0.682 1.073 4.821
O 1.073 6.155 2.968
O 2.346 4.101 6.863
O 2.736 2.346 0.927
O 4.101 4.491 0.927
O 4.491 2.736 6.863
O 5.764 0.682 2.968
O 6.155 5.764 4.821

=====

Record 5
14
Lattice="6.127 0.000 0.000 0.000 5.773 0.000 -1.376 0.000 7.963" Properties=species:S:1:pos:R:3 comment="PBE RbBaPO4, relaxed" de_polymorph_mev_per_atom=37 e_form_raw_kj_per_mol_fu=-1751 total_energy_ev_per_fu=-46.3 pbc="T T T"
Rb 0.844 1.443 3.733
Rb 3.907 4.330 4.230
Ba 0.303 1.443 7.660
Ba 4.448 4.330 0.303
P 1.417 4.330 1.585
P 3.335 1.443 6.378
O 0.133 4.330 2.458
O 1.014 4.330 0.059
O 2.307 3.069 1.833
O 2.307 5.590 1.833
O 2.445 0.183 6.130
O 2.445 2.703 6.130
O 3.738 1.443 7.904
O 4.618 1.443 5.505

=====

Record 6
28
Lattice="7.946 0.000 0.000 0.000 5.805 0.000 0.000 0.000 10.253" Properties=species:S:1:pos:R:3 comment="PBE RbBaPO4, relaxed" de_polymorph_mev_per_atom=0 e_form_raw_kj_per_mol_fu=-1776 total_energy_ev_per_fu=-46.5 pbc="T T T"
Rb 1.241 1.451 0.865
Rb 2.732 4.354 5.991
Rb 5.214 1.451 4.262
Rb 6.705 4.354 9.389
Ba 0.006 4.354 3.160
Ba 3.967 1.451 8.287
Ba 3.979 4.354 1.967
Ba 7.940 1.451 7.093
P 1.825 1.451 4.249
P 2.148 4.354 9.375
P 5.798 1.451 0.878
P 6.121 4.354 6.005
O 0.263 1.451 4.294
O 1.585 4.354 0.585
O 1.662 3.071 8.629
O 1.662 5.637 8.629
O 2.311 0.168 3.502
O 2.311 2.735 3.502
O 2.388 1.451 5.712
O 3.710 4.354 9.421
O 4.236 1.451 0.833
O 5.558 4.354 4.541
O 5.635 3.071 6.751
O 5.635 5.637 6.751
O 6.284 0.168 1.625
O 6.284 2.735 1.625
O 6.361 1.451 9.668
O 7.683 4.354 5.959

=====

Record 7
12
Lattice="3.019 1.743 7.517 -3.019 1.743 7.517 0.000 -3.486 7.517" Properties=species:S:1:pos:R:3 comment="PBE Rb2BaP2O7, relaxed" e_form_raw_kj_per_mol_fu=-2832 total_energy_ev_per_fu=-78.7 pbc="T T T"
Rb 0.000 0.000 4.775
Rb 0.000 0.000 17.775
Ba 0.000 0.000 0.000
P 0.000 0.000 9.656
P 0.000 0.000 12.894
O -0.201 -1.471 9.269
O -1.173 0.910 9.269
O -1.173 -0.910 13.281
O 0.000 0.000 11.275
O 1.374 0.561 9.269
O -0.201 1.471 13.281
O 1.374 -0.561 13.281

=====

Record 8
14
Lattice="6.129 0.000 0.000 -3.064 5.308 0.000 0.000 0.000 8.413" Properties=species:S:1:pos:R:3 comment="PBE Rb3BaP2O8, relaxed" e_form_raw_kj_per_mol_fu=-3095 total_energy_ev_per_fu=-87.4 pbc="T T T"
Rb 0.000 0.000 0.000
Rb 0.000 3.538 6.161
Rb 3.064 1.769 2.251
Ba 0.000 0.000 4.206
P 0.000 3.538 2.028
P 3.064 1.769 6.385
O 0.000 2.065 2.535
O -1.276 4.275 2.535
O 0.000 3.538 0.477
O 1.788 1.032 5.878
O 1.276 4.275 2.535
O 3.064 1.769 7.936
O 4.340 1.032 5.878
O 3.064 3.243 5.878